Entry 1:
Ag3SbO4 at its PBEsol-relaxed geometry. Source: Alexandria, functional meta-GGA SCAN.

Unit cell a=7.139 b=7.139 c=8.629 alpha=90.00 beta=90.00 gamma=90.00
Atoms (fractional coordinates):
Ag  0.000  0.172  0.000
Ag  0.000  0.259  0.500
Ag  0.000  0.741  0.000
Ag  0.000  0.828  0.500
Ag  0.172  0.000  0.750
Ag  0.202  0.500  0.250
Ag  0.259  0.000  0.250
Ag  0.500  0.202  0.500
Ag  0.500  0.798  0.000
Ag  0.741  0.000  0.750
Ag  0.798  0.500  0.750
Ag  0.828  0.000  0.250
Sb  0.276  0.500  0.750
Sb  0.500  0.276  0.000
Sb  0.500  0.724  0.500
Sb  0.724  0.500  0.250
O  0.081  0.303  0.735
O  0.081  0.697  0.765
O  0.302  0.482  0.984
O  0.302  0.518  0.516
O  0.303  0.081  0.015
O  0.303  0.919  0.485
O  0.482  0.302  0.766
O  0.482  0.698  0.734
O  0.518  0.302  0.234
O  0.518  0.698  0.266
O  0.697  0.081  0.985
O  0.697  0.919  0.515
O  0.698  0.482  0.016
O  0.698  0.518  0.484
O  0.919  0.303  0.265
O  0.919  0.697  0.235

Results
E_form (uncorrected) = -0.76 eV/atom
Size of the total moment = 0.00 μB per cell
E_tot = -20.30 eV per atom



Entry 2:
SrCa2Mo at its PBEsol-relaxed geometry. Source: Alexandria, functional meta-GGA SCAN.

Unit cell a=3.677 b=3.677 c=9.645 alpha=90.00 beta=90.00 gamma=90.00
Atoms (fractional coordinates):
Sr  0.000  0.000  0.000
Ca  0.500  0.500  0.320
Ca  0.500  0.500  0.680
Mo  0.000  0.000  0.500

Results
Size of the total moment = 2.93 μB per cell
E above lowest polymorph = 0.0 kJ/mol of formula units
E_tot = -18.50 eV per atom
Formation enthalpy at 0 K = 60.0 kJ per mole of atoms



Entry 3:
Y2ScRu at its PBEsol-relaxed geometry. Source: Alexandria, functional meta-GGA SCAN.

Unit cell a=3.300 b=3.300 c=8.584 alpha=90.00 beta=90.00 gamma=90.00
Atoms (fractional coordinates):
Y  0.000  0.000  0.000
Y  0.500  0.500  0.333
Sc  0.500  0.500  0.698
Ru  0.000  0.000  0.533

Results
Size of the total moment = 0.00 μB per cell
E above lowest polymorph = 4.0 kJ/mol of formula units
E_tot = -26.49 eV per atom
Formation enthalpy at 0 K = -28.7 kJ per mole of atoms



Entry 4:
AlZnTe2 at its PBEsol-relaxed geometry. Source: Alexandria, functional meta-GGA SCAN.

Unit cell a=4.284 b=4.284 c=7.665 alpha=90.00 beta=90.00 gamma=126.22
Atoms (fractional coordinates):
Al  0.000  0.000  0.000
Zn  0.000  0.000  0.500
Te  0.500  0.500  0.249
Te  0.500  0.500  0.751

Results
E_form (uncorrected) = 0.02 eV/atom
Size of the total moment = 0.00 μB per cell
E above lowest polymorph = 0.0 kJ/mol of formula units
E_tot = -23.92 eV per atom



Entry 5:
SbSeN2F at its PBEsol-relaxed geometry. Source: Alexandria, functional meta-GGA SCAN.

Unit cell a=4.166 b=4.166 c=3.965 alpha=90.00 beta=90.00 gamma=90.00
Atoms (fractional coordinates):
Sb  0.000  0.000  0.000
Se  0.500  0.500  0.000
N  0.000  0.500  0.500
N  0.500  0.000  0.500
F  0.500  0.500  0.500

Results
E_form (uncorrected) = 1.80 eV/atom
Size of the total moment = 4.04 μB per cell
E above lowest polymorph = 446.3 kJ/mol of formula units
E_tot = -14.09 eV per atom



Entry 6:
Cd3NiH at its PBEsol-relaxed geometry. Source: Alexandria, functional meta-GGA SCAN.

Unit cell a=4.876 b=4.876 c=4.876 alpha=90.00 beta=90.00 gamma=90.00
Atoms (fractional coordinates):
Cd  0.000  0.000  0.500
Cd  0.000  0.500  0.000
Cd  0.500  0.000  0.000
Ni  0.000  0.000  0.000
H  0.500  0.500  0.500

Results
Size of the total moment = 0.80 μB per cell
E_tot = -21.51 eV per atom